Version A
This record from the Alexandria database describes a geometry-optimized TaAg3F structure. The functional is PBE-GGA.

## Properties
* spin magnetization: 3.3 μB per formula unit
* N(E_F): 3.58 states/eV/f.u.

Geometry as CIF:
```
data_TaAg3F
_chemical_formula_sum 'Ta1 Ag3 F1'
_symmetry_space_group_name_H-M 'P m -3 m'
_symmetry_Int_Tables_number 221
_symmetry_space_group_name_Hall '-P 4 2 3'
_cell_length_a 4.549
_cell_length_b 4.549
_cell_length_c 4.549
_cell_angle_alpha 90.00
_cell_angle_beta 90.00
_cell_angle_gamma 90.00
loop_
_atom_site_label
_atom_site_fract_x
_atom_site_fract_y
_atom_site_fract_z
Ta1 0.000 0.000 0.000
Ag1 0.000 0.500 0.500
F1 0.500 0.500 0.500
```

Version B
This record from the Alexandria database describes a geometry-optimized TaAg3F structure. The functional is PBE-GGA.

## Properties
* spin magnetization: 0.0 μB per formula unit
* N(E_F): 5.80 states/eV/f.u.

Geometry as CIF:
```
data_TaAg3F
_chemical_formula_sum 'Ta1 Ag3 F1'
_symmetry_space_group_name_H-M 'P m -3 m'
_symmetry_Int_Tables_number 221
_symmetry_space_group_name_Hall '-P 4 2 3'
_cell_length_a 5.238
_cell_length_b 5.238
_cell_length_c 5.238
_cell_angle_alpha 90.00
_cell_angle_beta 90.00
_cell_angle_gamma 90.00
loop_
_atom_site_label
_atom_site_fract_x
_atom_site_fract_y
_atom_site_fract_z
Ta1 0.000 0.000 0.000
Ag1 0.000 0.000 0.500
F1 0.500 0.500 0.500
```

Going by the energies, version A is most stable and the next is 64.1 kJ/mol of atoms up.

Version A
This record from the Alexandria database describes a geometry-optimized TaTiAg2F structure. The functional is PBE-GGA.

## Properties
* spin magnetization: 2.5 μB per formula unit
* N(E_F): 5.74 states/eV/f.u.

Geometry as CIF:
```
data_TaTiAg2F
_chemical_formula_sum 'Ta1 Ti1 Ag2 F1'
_symmetry_space_group_name_H-M 'P 4/m m m'
_symmetry_Int_Tables_number 123
_symmetry_space_group_name_Hall '-P 4 2'
_cell_length_a 4.823
_cell_length_b 4.823
_cell_length_c 3.804
_cell_angle_alpha 90.00
_cell_angle_beta 90.00
_cell_angle_gamma 90.00
loop_
_atom_site_label
_atom_site_fract_x
_atom_site_fract_y
_atom_site_fract_z
Ta1 0.000 0.000 0.000
Ti1 0.500 0.500 0.000
Ag1 0.000 0.500 0.500
F1 0.500 0.500 0.500
```

Version B
This record from the Alexandria database describes a geometry-optimized TaTiAg2F structure. The functional is PBE-GGA.

## Properties
* spin magnetization: 2.6 μB per formula unit
* N(E_F): 5.81 states/eV/f.u.

Geometry as CIF:
```
data_TaTiAg2F
_chemical_formula_sum 'Ta1 Ti1 Ag2 F1'
_symmetry_space_group_name_H-M 'P 4/m m m'
_symmetry_Int_Tables_number 123
_symmetry_space_group_name_Hall '-P 4 2'
_cell_length_a 5.176
_cell_length_b 5.176
_cell_length_c 3.649
_cell_angle_alpha 90.00
_cell_angle_beta 90.00
_cell_angle_gamma 90.00
loop_
_atom_site_label
_atom_site_fract_x
_atom_site_fract_y
_atom_site_fract_z
Ta1 0.000 0.000 0.000
Ti1 0.500 0.500 0.500
Ag1 0.000 0.500 0.500
F1 0.500 0.500 0.000
```

Going by the energies, version A is most stable and the next is 11.2 kJ/mol of atoms up.

Version A
This record from the Alexandria database describes a geometry-optimized Tc3AgF structure. The functional is PBE-GGA.

## Properties
* spin magnetization: 12.1 μB per formula unit
* N(E_F): 5.51 states/eV/f.u.

Geometry as CIF:
```
data_Tc3AgF
_chemical_formula_sum 'Tc3 Ag1 F1'
_symmetry_space_group_name_H-M 'P m -3 m'
_symmetry_Int_Tables_number 221
_symmetry_space_group_name_Hall '-P 4 2 3'
_cell_length_a 5.125
_cell_length_b 5.125
_cell_length_c 5.125
_cell_angle_alpha 90.00
_cell_angle_beta 90.00
_cell_angle_gamma 90.00
loop_
_atom_site_label
_atom_site_fract_x
_atom_site_fract_y
_atom_site_fract_z
Tc1 0.000 0.000 0.500
Ag1 0.000 0.000 0.000
F1 0.500 0.500 0.500
```

Version B
This record from the Alexandria database describes a geometry-optimized Tc3AgF structure. The functional is PBE-GGA.

## Properties
* spin magnetization: 1.7 μB per formula unit
* N(E_F): 7.94 states/eV/f.u.

Geometry as CIF:
```
data_Tc3AgF
_chemical_formula_sum 'Tc3 Ag1 F1'
_symmetry_space_group_name_H-M 'P m -3 m'
_symmetry_Int_Tables_number 221
_symmetry_space_group_name_Hall '-P 4 2 3'
_cell_length_a 4.205
_cell_length_b 4.205
_cell_length_c 4.205
_cell_angle_alpha 90.00
_cell_angle_beta 90.00
_cell_angle_gamma 90.00
loop_
_atom_site_label
_atom_site_fract_x
_atom_site_fract_y
_atom_site_fract_z
Tc1 0.000 0.000 0.500
Ag1 0.500 0.500 0.500
F1 0.000 0.000 0.000
```

Going by the energies, version B is most stable and the next is 124.9 kJ/mol of atoms up.

Version A
This record from the Alexandria database describes a geometry-optimized TcAgF3 structure. The functional is PBE-GGA.

## Properties
* spin magnetization: 3.7 μB per formula unit
* N(E_F): 3.32 states/eV/f.u.

Geometry as CIF:
```
data_TcAgF3
_chemical_formula_sum 'Tc1 Ag1 F3'
_symmetry_space_group_name_H-M 'P m -3 m'
_symmetry_Int_Tables_number 221
_symmetry_space_group_name_Hall '-P 4 2 3'
_cell_length_a 4.310
_cell_length_b 4.310
_cell_length_c 4.310
_cell_angle_alpha 90.00
_cell_angle_beta 90.00
_cell_angle_gamma 90.00
loop_
_atom_site_label
_atom_site_fract_x
_atom_site_fract_y
_atom_site_fract_z
Tc1 0.000 0.000 0.000
Ag1 0.500 0.500 0.500
F1 0.000 0.000 0.500
```

Version B
This record from the Alexandria database describes a geometry-optimized TcAgF3 structure. The functional is PBE-GGA.

## Properties
* spin magnetization: 4.9 μB per formula unit
* N(E_F): 5.42 states/eV/f.u.

Geometry as CIF:
```
data_TcAgF3
_chemical_formula_sum 'Tc1 Ag1 F3'
_symmetry_space_group_name_H-M 'P m -3 m'
_symmetry_Int_Tables_number 221
_symmetry_space_group_name_Hall '-P 4 2 3'
_cell_length_a 4.406
_cell_length_b 4.406
_cell_length_c 4.406
_cell_angle_alpha 90.00
_cell_angle_beta 90.00
_cell_angle_gamma 90.00
loop_
_atom_site_label
_atom_site_fract_x
_atom_site_fract_y
_atom_site_fract_z
Tc1 0.000 0.000 0.000
Ag1 0.500 0.500 0.500
F1 0.000 0.500 0.500
```

Going by the energies, version A is most stable and the next is 59.2 kJ/mol of atoms up.

Version A
This record from the Alexandria database describes a geometry-optimized Tc2AgF structure. The functional is PBE-GGA.

## Properties
* spin magnetization: 0.0 μB per formula unit
* N(E_F): 7.10 states/eV/f.u.

Geometry as CIF:
```
data_Tc2AgF
_chemical_formula_sum 'Tc8 Ag4 F4'
_symmetry_space_group_name_H-M 'F m -3 m'
_symmetry_Int_Tables_number 225
_symmetry_space_group_name_Hall '-F 4 2 3'
_cell_length_a 6.137
_cell_length_b 6.137
_cell_length_c 6.137
_cell_angle_alpha 90.00
_cell_angle_beta 90.00
_cell_angle_gamma 90.00
loop_
_atom_site_label
_atom_site_fract_x
_atom_site_fract_y
_atom_site_fract_z
Tc1 0.250 0.250 0.250
Ag1 0.000 0.000 0.000
F1 0.000 0.000 0.500
```

Version B
This record from the Alexandria database describes a geometry-optimized Tc2AgF structure. The functional is PBE-GGA.

## Properties
* spin magnetization: 0.0 μB per formula unit
* N(E_F): 3.37 states/eV/f.u.

Geometry as CIF:
```
data_Tc2AgF
_chemical_formula_sum 'Tc8 Ag4 F4'
_symmetry_space_group_name_H-M 'I -4 2 d'
_symmetry_Int_Tables_number 122
_symmetry_space_group_name_Hall 'I -4 2bw'
_cell_length_a 3.471
_cell_length_b 3.471
_cell_length_c 21.133
_cell_angle_alpha 90.00
_cell_angle_beta 90.00
_cell_angle_gamma 90.00
loop_
_atom_site_label
_atom_site_fract_x
_atom_site_fract_y
_atom_site_fract_z
Tc1 0.249 0.750 0.125
Ag1 0.000 0.000 0.000
F1 0.000 0.000 0.500
```

Going by the energies, version B is most stable and the next is 38.5 kJ/mol of atoms up.